Record 1
# SrY2ZnSe | Alexandria via LeMat-Bulk | PBE | relaxed
# - formation energy without anion corrections (meV per atom) = 1030
data_SrY2ZnSe
_chemical_formula_sum 'Sr1 Y2 Zn1 Se1'
_space_group_name_H-M_alt 'P 4/m m m'
_space_group_IT_number 123
_space_group_name_Hall '-P 4 2'
_cell_length_a 5.8973
_cell_length_b 5.8973
_cell_length_c 5.1031
_cell_angle_alpha 90.00
_cell_angle_beta 90.00
_cell_angle_gamma 90.00
loop_
_atom_site_label
_atom_site_type_symbol
_atom_site_fract_x
_atom_site_fract_y
_atom_site_fract_z
_atom_site_occupancy
Sr1 Sr 0.0000 0.0000 0.0000 1
Y1 Y 0.0000 0.5000 0.0000 1
Zn1 Zn 0.0000 0.0000 0.5000 1
Se1 Se 0.5000 0.5000 0.5000 1

Record 2
# SrZn4Se | Alexandria via LeMat-Bulk | PBE | relaxed
# - formation energy without anion corrections (meV per atom) = -156
data_SrZn4Se
_chemical_formula_sum 'Sr4 Zn16 Se4'
_space_group_name_H-M_alt 'F -4 3 m'
_space_group_IT_number 216
_space_group_name_Hall 'F -4 2 3'
_cell_length_a 7.9865
_cell_length_b 7.9865
_cell_length_c 7.9865
_cell_angle_alpha 90.00
_cell_angle_beta 90.00
_cell_angle_gamma 90.00
loop_
_atom_site_label
_atom_site_type_symbol
_atom_site_fract_x
_atom_site_fract_y
_atom_site_fract_z
_atom_site_occupancy
Sr1 Sr 0.0000 0.0000 0.0000 1
Zn1 Zn 0.1237 0.1237 0.6237 1
Se1 Se 0.2500 0.2500 0.2500 1

Record 3
# SrZnSe | Alexandria via LeMat-Bulk | PBE | relaxed
# - ΔE to the lowest computed polymorph (eV/atom) = 0.326
# - formation energy without anion corrections (meV per atom) = -796
data_SrZnSe
_chemical_formula_sum 'Sr2 Zn2 Se2'
_space_group_name_H-M_alt 'I 4 m m'
_space_group_IT_number 107
_space_group_name_Hall 'I 4 -2'
_cell_length_a 3.8761
_cell_length_b 3.8761
_cell_length_c 10.4139
_cell_angle_alpha 90.00
_cell_angle_beta 90.00
_cell_angle_gamma 90.00
loop_
_atom_site_label
_atom_site_type_symbol
_atom_site_fract_x
_atom_site_fract_y
_atom_site_fract_z
_atom_site_occupancy
Sr1 Sr 0.0000 0.0000 0.0000 1
Zn1 Zn 0.0000 0.0000 0.6914 1
Se1 Se 0.0000 0.0000 0.3308 1

Record 4
# SrZnSe2 | Alexandria via LeMat-Bulk | PBE | relaxed
# - formation energy without anion corrections (meV per atom) = -402
data_SrZnSe2
_chemical_formula_sum 'Sr3 Zn3 Se6'
_space_group_name_H-M_alt 'R -3 m'
_space_group_IT_number 166
_space_group_name_Hall '-R 3 2"'
_cell_length_a 4.0257
_cell_length_b 4.0257
_cell_length_c 25.7289
_cell_angle_alpha 90.00
_cell_angle_beta 90.00
_cell_angle_gamma 120.00
loop_
_atom_site_label
_atom_site_type_symbol
_atom_site_fract_x
_atom_site_fract_y
_atom_site_fract_z
_atom_site_occupancy
Sr1 Sr 0.0000 0.0000 0.0000 1
Zn1 Zn 0.0000 0.0000 0.5000 1
Se1 Se 0.0000 0.0000 0.1133 1

Record 5
# SrZnSe2 | Alexandria via LeMat-Bulk | PBE | relaxed
# - formation energy without anion corrections (meV per atom) = -717
data_SrZnSe2
_chemical_formula_sum 'Sr1 Zn1 Se2'
_space_group_name_H-M_alt 'P 4/m m m'
_space_group_IT_number 123
_space_group_name_Hall '-P 4 2'
_cell_length_a 4.0101
_cell_length_b 4.0101
_cell_length_c 6.1660
_cell_angle_alpha 90.00
_cell_angle_beta 90.00
_cell_angle_gamma 90.00
loop_
_atom_site_label
_atom_site_type_symbol
_atom_site_fract_x
_atom_site_fract_y
_atom_site_fract_z
_atom_site_occupancy
Sr1 Sr 0.0000 0.0000 0.0000 1
Zn1 Zn 0.0000 0.0000 0.5000 1
Se1 Se 0.5000 0.5000 0.2424 1

Record 6
# SrZnSe2 | Alexandria via LeMat-Bulk | PBE | relaxed
# - formation energy without anion corrections (meV per atom) = -1245
data_SrZnSe2
_chemical_formula_sum 'Sr1 Zn1 Se2'
_space_group_name_H-M_alt 'P 1 m 1'
_space_group_IT_number 6
_space_group_name_Hall 'P -2y'
_cell_length_a 4.5328
_cell_length_b 4.2095
_cell_length_c 6.3973
_cell_angle_alpha 90.00
_cell_angle_beta 96.06
_cell_angle_gamma 90.00
loop_
_atom_site_label
_atom_site_type_symbol
_atom_site_fract_x
_atom_site_fract_y
_atom_site_fract_z
_atom_site_occupancy
Sr1 Sr 0.0000 0.0000 0.0000 1
Zn1 Zn 0.2748 0.5000 0.6065 1
Se1 Se 0.0386 0.0000 0.4874 1
Se2 Se 0.4986 0.5000 0.9683 1

Record 7
# SrZnSe2 | Alexandria via LeMat-Bulk | PBE | relaxed
# - formation energy without anion corrections (meV per atom) = -867
data_SrZnSe2
_chemical_formula_sum 'Sr2 Zn2 Se4'
_space_group_name_H-M_alt 'C m m m'
_space_group_IT_number 65
_space_group_name_Hall '-C 2 2'
_cell_length_a 3.9983
_cell_length_b 7.9128
_cell_length_c 7.7237
_cell_angle_alpha 90.00
_cell_angle_beta 90.00
_cell_angle_gamma 90.00
loop_
_atom_site_label
_atom_site_type_symbol
_atom_site_fract_x
_atom_site_fract_y
_atom_site_fract_z
_atom_site_occupancy
Sr1 Sr 0.0000 0.0000 0.0000 1
Zn1 Zn 0.0000 0.0000 0.5000 1
Se1 Se 0.0000 0.5000 0.2820 1

Record 8
# SrZnSe2 | Alexandria via LeMat-Bulk | PBE | relaxed
# - formation energy without anion corrections (meV per atom) = -980
data_SrZnSe2
_chemical_formula_sum 'Sr2 Zn2 Se4'
_space_group_name_H-M_alt 'I m m m'
_space_group_IT_number 71
_space_group_name_Hall '-I 2 2'
_cell_length_a 4.0419
_cell_length_b 6.5116
_cell_length_c 7.9170
_cell_angle_alpha 90.00
_cell_angle_beta 90.00
_cell_angle_gamma 90.00
loop_
_atom_site_label
_atom_site_type_symbol
_atom_site_fract_x
_atom_site_fract_y
_atom_site_fract_z
_atom_site_occupancy
Sr1 Sr 0.0000 0.0000 0.0000 1
Zn1 Zn 0.0000 0.0000 0.5000 1
Se1 Se 0.0000 0.5000 0.2072 1

Record 9
# SrZnSe2 | Alexandria via LeMat-Bulk | PBE | relaxed
# - formation energy without anion corrections (meV per atom) = -1244
data_SrZnSe2
_chemical_formula_sum 'Sr4 Zn4 Se8'
_space_group_name_H-M_alt 'I -4 2 d'
_space_group_IT_number 122
_space_group_name_Hall 'I -4 2bw'
_cell_length_a 7.2052
_cell_length_b 7.2052
_cell_length_c 8.4630
_cell_angle_alpha 90.00
_cell_angle_beta 90.00
_cell_angle_gamma 90.00
loop_
_atom_site_label
_atom_site_type_symbol
_atom_site_fract_x
_atom_site_fract_y
_atom_site_fract_z
_atom_site_occupancy
Sr1 Sr 0.0000 0.0000 0.0000 1
Zn1 Zn 0.0000 0.0000 0.5000 1
Se1 Se 0.1861 0.7500 0.6250 1

Record 10
# SrZnSe2 | Alexandria via LeMat-Bulk | PBE | relaxed
# - formation energy without anion corrections (meV per atom) = -1228
data_SrZnSe2
_chemical_formula_sum 'Sr2 Zn2 Se4'
_space_group_name_H-M_alt 'C 1 m 1'
_space_group_IT_number 8
_space_group_name_Hall 'C -2y'
_cell_length_a 13.3255
_cell_length_b 4.0159
_cell_length_c 4.4865
_cell_angle_alpha 90.00
_cell_angle_beta 96.63
_cell_angle_gamma 90.00
loop_
_atom_site_label
_atom_site_type_symbol
_atom_site_fract_x
_atom_site_fract_y
_atom_site_fract_z
_atom_site_occupancy
Sr1 Sr 0.0000 0.0000 0.0000 1
Zn1 Zn 0.2300 0.5000 0.7521 1
Se1 Se 0.0607 0.5000 0.5201 1
Se2 Se 0.3088 0.0000 0.9775 1

Record 11
# SrZn3Se | Alexandria via LeMat-Bulk | PBE | relaxed
# - ΔE to the lowest computed polymorph (eV/atom) = 0.650
# - formation energy without anion corrections (meV per atom) = 782
data_SrZn3Se
_chemical_formula_sum 'Sr1 Zn3 Se1'
_space_group_name_H-M_alt 'P m -3 m'
_space_group_IT_number 221
_space_group_name_Hall '-P 4 2 3'
_cell_length_a 5.8932
_cell_length_b 5.8932
_cell_length_c 5.8932
_cell_angle_alpha 90.00
_cell_angle_beta 90.00
_cell_angle_gamma 90.00
loop_
_atom_site_label
_atom_site_type_symbol
_atom_site_fract_x
_atom_site_fract_y
_atom_site_fract_z
_atom_site_occupancy
Sr1 Sr 0.0000 0.0000 0.0000 1
Zn1 Zn 0.0000 0.0000 0.5000 1
Se1 Se 0.5000 0.5000 0.5000 1

Record 12
# SrZnSe2 | Alexandria via LeMat-Bulk | PBE | relaxed
# - formation energy without anion corrections (meV per atom) = -1143
data_SrZnSe2
_chemical_formula_sum 'Sr3 Zn3 Se6'
_space_group_name_H-M_alt 'R -3 m'
_space_group_IT_number 166
_space_group_name_Hall '-R 3 2"'
_cell_length_a 4.1472
_cell_length_b 4.1472
_cell_length_c 20.0814
_cell_angle_alpha 90.00
_cell_angle_beta 90.00
_cell_angle_gamma 120.00
loop_
_atom_site_label
_atom_site_type_symbol
_atom_site_fract_x
_atom_site_fract_y
_atom_site_fract_z
_atom_site_occupancy
Sr1 Sr 0.0000 0.0000 0.0000 1
Zn1 Zn 0.0000 0.0000 0.5000 1
Se1 Se 0.0000 0.0000 0.2364 1

One value per record, in order, for raw total energy: -2.8435, -1.8667, -2.9432, -2.8828, -3.1979, -3.7264, -3.3482, -3.4613, -3.7250, -3.7088, -1.0152, -3.6237 eV/atom.